ZnCd2In after structural relaxation. Source: the Alexandria database, functional PBE.

```
4
Lattice="-2.921 -0.006 1.140 -1.583 -0.137 -4.059 0.085 -6.393 0.183" Properties=species:S:1:pos:R:3 pbc="T T T"
Cd -2.232 -1.598 -1.416
Cd 0.084 -6.326 0.181
Zn -2.188 -4.918 -1.321
In 0.044 -3.283 0.094
```

Its energy above the most stable polymorph in this dataset is 0.0147 eV/atom. The calculation puts the calculated total energy at -1.39 eV per atom. As for the formation energy: 0.3 eV/f.u. The value obtained for the total magnetization is 0.000 μB per cell.